Record 1
KLaRu2 | Alexandria via LeMat-Bulk | PBE | relaxed; SG = C2/m (12); N(E_F) = 10.781 states/eV per cell; magnetic moment = 0.002 μB per atom; ΔH_f (0 K) = 0.952 eV/atom; energy relative to the lowest polymorph listed for this composition = 666 meV/atom
1.0
6.137 0.000 0.000
0.000 9.593 0.000
-1.219 0.000 2.796
K La Ru
2 2 4
Direct
0.000 0.000 0.000
0.500 0.500 0.000
0.000 0.500 0.000
0.500 0.000 0.000
0.250 0.250 0.500
0.250 0.750 0.500
0.750 0.250 0.500
0.750 0.750 0.500

Record 2
YbYAl6 | Alexandria via LeMat-Bulk | PBE | relaxed; SG = P6_3/mmc (194); N(E_F) = 4.615 states/eV per cell; magnetic moment = 0.000 μB per atom; ΔH_f (0 K) = -0.386 eV/atom
1.0
6.085 0.000 0.000
-3.042 5.270 0.000
0.000 0.000 9.629
Yb Y Al
2 2 12
Direct
0.000 0.000 0.000
0.000 0.000 0.500
0.333 0.667 0.250
0.667 0.333 0.750
0.000 0.500 0.000
0.000 0.500 0.500
0.179 0.358 0.750
0.179 0.821 0.750
0.358 0.179 0.250
0.500 0.000 0.000
0.500 0.000 0.500
0.500 0.500 0.000
0.500 0.500 0.500
0.642 0.821 0.750
0.821 0.179 0.250
0.821 0.642 0.250

Record 3
ZrZnRu2 | Alexandria via LeMat-Bulk | PBE | relaxed; SG = Cm (8); N(E_F) = 7.684 states/eV per cell; magnetic moment = 0.000 μB per atom; ΔH_f (0 K) = -0.211 eV/atom
1.0
9.932 0.000 0.000
0.000 3.123 0.000
-1.693 0.000 4.092
Zr Zn Ru
2 2 4
Direct
0.000 0.000 0.000
0.500 0.500 0.000
0.268 0.500 0.345
0.768 0.000 0.345
0.008 0.500 0.496
0.241 0.000 0.825
0.508 0.000 0.496
0.741 0.500 0.825

Record 4
WAuCl2 | Alexandria via LeMat-Bulk | PBE | relaxed; SG = R3m (160); N(E_F) = 4.655 states/eV per cell; uncorrected formation energy = 0.038 eV/atom; magnetic moment = 0.000 μB per atom; energy relative to the lowest polymorph listed for this composition = 100 meV/atom
1.0
3.197 0.000 0.000
-1.599 2.769 0.000
0.000 0.000 26.654
W Au Cl
3 3 6
Direct
0.000 0.000 0.000
0.333 0.667 0.667
0.667 0.333 0.333
0.000 0.000 0.257
0.333 0.667 0.923
0.667 0.333 0.590
0.000 0.000 0.519
0.000 0.000 0.730
0.333 0.667 0.186
0.333 0.667 0.397
0.667 0.333 0.063
0.667 0.333 0.853

Record 5
KLaTa2 | Alexandria via LeMat-Bulk | PBE | relaxed; SG = Immm (71); N(E_F) = 12.321 states/eV per cell; magnetic moment = 0.000 μB per atom; ΔH_f (0 K) = 1.237 eV/atom; energy relative to the lowest polymorph listed for this composition = 683 meV/atom
1.0
3.391 0.000 0.000
0.000 4.937 0.000
0.000 0.000 11.646
K La Ta
2 2 4
Direct
0.000 0.000 0.000
0.500 0.500 0.500
0.000 0.000 0.500
0.500 0.500 0.000
0.000 0.500 0.244
0.000 0.500 0.756
0.500 0.000 0.256
0.500 0.000 0.744

Record 6
Al2SiTe | Alexandria via LeMat-Bulk | PBE | relaxed; SG = Pmm2 (25); N(E_F) = 1.700 states/eV per cell; uncorrected formation energy = 0.078 eV/atom; magnetic moment = 0.000 μB per atom; energy relative to the lowest polymorph listed for this composition = 220 meV/atom
1.0
3.682 0.000 0.000
0.000 3.734 0.000
0.000 0.000 6.722
Al Si Te
2 1 1
Direct
0.000 0.000 0.000
0.500 0.500 0.427
0.500 0.500 0.060
0.000 0.000 0.582

Record 7
USe2I2 | Alexandria via LeMat-Bulk | PBE | relaxed; SG = C2/m (12); N(E_F) = 12.159 states/eV per cell; uncorrected formation energy = -0.799 eV/atom; magnetic moment = 0.400 μB per atom
1.0
3.861 -6.667 0.000
3.861 6.667 0.000
-1.651 0.000 7.845
U Se I
2 4 4
Direct
0.143 0.857 0.000
0.857 0.143 0.000
0.069 0.069 0.282
0.284 0.284 0.112
0.716 0.716 0.888
0.931 0.931 0.718
0.072 0.469 0.767
0.469 0.072 0.767
0.531 0.928 0.233
0.928 0.531 0.233

Record 8
RbU2Tl3Te6 | Alexandria via LeMat-Bulk | PBE | relaxed; SG = C2/m (12); N(E_F) = 14.497 states/eV per cell; uncorrected formation energy = -0.574 eV/atom; magnetic moment = 0.333 μB per atom
1.0
10.528 -2.272 0.000
10.528 2.272 0.000
-2.334 0.000 9.592
Rb U Tl Te
1 2 3 6
Direct
0.000 0.000 0.000
0.326 0.326 0.662
0.674 0.674 0.338
0.000 0.000 0.500
0.341 0.341 0.169
0.659 0.659 0.831
0.174 0.174 0.559
0.181 0.181 0.129
0.468 0.468 0.720
0.532 0.532 0.280
0.819 0.819 0.871
0.826 0.826 0.441